Entry 1:
# Nd3Ho2Hg7

A geometry-optimized Nd3Ho2Hg7 structure (GGA-PBE, Alexandria via LeMat-Bulk).

Lattice parameters (Å, degrees): 5.600 5.198 11.819 102.70 90.00 90.00
Element x y z (fractional)
Nd1 0.500 0.671 0.342
Hg1 0.500 0.912 0.824
Nd2 0.500 0.500 0.000
Hg2 0.000 0.724 0.448
Ho1 0.000 0.858 0.716
Hg3 0.000 0.424 0.848
Hg4 0.000 0.276 0.552
Hg5 0.000 0.000 0.000
Ho2 0.000 0.142 0.284
Hg6 0.500 0.088 0.176
Nd3 0.500 0.329 0.658
Hg7 0.000 0.576 0.152

## Properties
ρ   10.7 g/cm3
Calculated formation energy   -0.33 eV per atom



Entry 2:
# NdHoHg4

A geometry-optimized NdHoHg4 structure (GGA-PBE, Alexandria via LeMat-Bulk).

Lattice parameters (Å, degrees): 5.987 5.987 5.987 60.00 60.00 60.00
Element x y z (fractional)
Nd1 0.250 0.250 0.250
Hg1 0.625 0.625 0.625
Hg2 0.125 0.625 0.625
Ho1 0.000 0.000 0.000
Hg3 0.625 0.625 0.125
Hg4 0.625 0.125 0.625

## Properties
ρ   12.2 g/cm3
Excess energy over the best structure of this formula in the dataset   0.1228 eV/atom
Calculated formation energy   -0.23 eV per atom



Entry 3:
# Nd2Ho2Hg7

A geometry-optimized Nd2Ho2Hg7 structure (GGA-PBE, Alexandria via LeMat-Bulk).

Lattice parameters (Å, degrees): 6.791 7.836 6.791 90.00 115.01 90.00
Element x y z (fractional)
Ho1 0.735 0.000 0.265
Nd1 0.756 0.500 0.756
Hg1 0.500 0.690 0.000
Hg2 0.500 0.310 0.000
Hg3 0.000 0.690 0.500
Hg4 0.000 0.000 0.000
Hg5 0.500 0.186 0.500
Nd2 0.244 0.500 0.244
Hg6 0.500 0.814 0.500
Ho2 0.265 0.000 0.735
Hg7 0.000 0.310 0.500

## Properties
ρ   10.3 g/cm3
Calculated formation energy   -0.15 eV per atom



Entry 4:
# NdHo2Hg4

A geometry-optimized NdHo2Hg4 structure (GGA-PBE, Alexandria via LeMat-Bulk).

Lattice parameters (Å, degrees): 4.953 4.953 9.425 74.76 74.76 60.00
Element x y z (fractional)
Hg1 0.604 0.604 0.189
Ho1 0.875 0.875 0.374
Ho2 0.125 0.125 0.626
Hg2 0.246 0.246 0.262
Hg3 0.754 0.754 0.738
Hg4 0.396 0.396 0.811
Nd1 0.000 0.000 0.000

## Properties
ρ   11.1 g/cm3
Excess energy over the best structure of this formula in the dataset   0.0742 eV/atom
Calculated formation energy   -0.30 eV per atom